Entry 1:
Below is a relaxed LiFe2Pd5 crystal, with properties calculated at the PBE level.

```
LiFe2Pd5
1.0
4.9414 0.6583 -2.0816
-1.9570 4.5843 -2.0828
-0.3775 -0.6617 5.3483
Li Fe Pd
1 2 5
direct
0.7776 0.7778 0.0000
0.2780 0.7782 0.5004
0.7776 0.2778 0.4996
0.2778 0.2779 0.5000
0.2775 0.7775 0.0000
0.7783 0.2783 0.0000
0.7779 0.7780 0.5000
0.2783 0.2776 0.0000
```

## Properties
The final energy comes out at -5.76 eV per atom. The space group is No. 139. The crystal system is tetragonal. The total magnetic moment is 8.2 μB per formula unit.

=====

Entry 2:
Below is a relaxed LiFe3Pd6 crystal, with properties calculated at the PBE level.

```
LiFe3Pd6
1.0
4.4161 0.0000 0.0000
0.0000 6.7496 -2.5412
0.0000 -0.1371 9.5871
Li Fe Pd
2 6 12
direct
0.2500 0.9633 0.5820
0.7500 0.0367 0.4180
0.2500 0.5357 0.3686
0.7500 0.4643 0.6314
0.2500 0.3914 0.7825
0.7500 0.6086 0.2175
0.2500 0.7672 0.9695
0.7500 0.2328 0.0305
0.2500 0.4683 0.0748
0.7500 0.5317 0.9252
0.2500 0.1556 0.1755
0.7500 0.8444 0.8245
0.2500 0.6649 0.6643
0.7500 0.3351 0.3357
0.2500 0.2554 0.4926
0.7500 0.7446 0.5074
0.2500 0.8459 0.2909
0.7500 0.1541 0.7091
0.2500 0.0815 0.8692
0.7500 0.9185 0.1308
```

## Properties
The final energy comes out at -5.98 eV per atom. The space group is No. 11. The crystal system is monoclinic. The total magnetic moment is 10.9 μB per formula unit.

=====

Entry 3:
Below is a relaxed LiFePd3 crystal, with properties calculated at the PBE level.

```
LiFePd3
1.0
4.0559 0.0000 0.0000
0.0000 7.5585 -4.4917
0.0000 -1.9124 10.3234
Li Fe Pd
4 4 12
direct
0.7500 0.7717 0.5761
0.2500 0.2283 0.4239
0.2500 0.7283 0.9239
0.7500 0.2717 0.0761
0.2500 0.5226 0.3258
0.7500 0.4774 0.6742
0.7500 0.9774 0.1742
0.2500 0.0226 0.8258
0.2500 0.6253 0.6250
0.7500 0.3747 0.3750
0.7500 0.8747 0.8750
0.2500 0.1253 0.1250
0.7500 0.6622 0.2794
0.2500 0.3378 0.7206
0.2500 0.8378 0.2206
0.7500 0.1622 0.7794
0.2500 0.4117 0.0294
0.7500 0.5883 0.9706
0.7500 0.0883 0.4706
0.2500 0.9117 0.5294
```

## Properties
The final energy comes out at -5.41 eV per atom. The space group is No. 63. The crystal system is orthorhombic. The total magnetic moment is 4.0 μB per formula unit. For the energy above the most stable polymorph in this dataset, the calculation gives 0.0 meV per atom.

=====

Entry 4:
Below is a relaxed LiFe3Pd4 crystal, with properties calculated at the PBE level.

```
LiFe3Pd4
1.0
-2.6519 -1.7711 -2.3106
-1.9641 -1.2186 3.1883
-1.5911 7.4777 -0.5497
Fe Pd Li
3 4 1
direct
0.0000 0.5000 0.0000
0.7480 0.2478 0.4960
0.2520 0.7522 0.5040
0.3779 0.3778 0.7558
0.6221 0.6222 0.2442
0.1221 0.1222 0.2442
0.8779 0.8778 0.7558
0.5000 0.0000 0.0000
```

## Properties
The final energy comes out at -6.13 eV per atom. The space group is No. 139. The crystal system is tetragonal. The total magnetic moment is 10.5 μB per formula unit.

=====

Entry 5:
Below is a relaxed LiFePd5 crystal, with properties calculated at the PBE level.

```
LiFePd5
1.0
-1.3665 0.8925 -4.2334
3.2867 -1.8067 -2.5531
-5.2546 -9.2115 -0.2457
Li Fe Pd
2 2 10
direct
0.3701 0.6299 0.7500
0.6299 0.3701 0.2500
0.0000 0.0000 0.0000
0.0000 0.0000 0.5000
0.4381 0.1543 0.8883
0.5619 0.8458 0.3883
0.1543 0.4381 0.3883
0.9498 0.0502 0.7500
0.1542 0.4381 0.1117
0.8458 0.5619 0.8883
0.0502 0.9498 0.2500
0.8457 0.5619 0.6117
0.4381 0.1542 0.6117
0.5619 0.8457 0.1117
```

## Properties
The final energy comes out at -5.29 eV per atom. The space group is No. 63. The crystal system is orthorhombic. The total magnetic moment is 4.5 μB per formula unit. For the energy above the most stable polymorph in this dataset, the calculation gives 0.0 meV per atom.

=====

Entry 6:
Below is a relaxed LiFePd3 crystal, with properties calculated at the PBE level.

```
LiFePd3
1.0
-1.0334 2.8493 -2.9147
-3.2289 -2.4073 -1.2085
-2.4876 1.9411 2.7795
Fe Pd Li
1 3 1
direct
0.5000 0.5000 0.5000
0.0000 0.5000 0.0000
0.0000 0.0000 0.5000
0.5000 0.0000 0.0000
0.0000 0.0000 0.0000
```

## Properties
The final energy comes out at -4.80 eV per atom. The space group is No. 221. The crystal system is cubic. The total magnetic moment is 3.9 μB per formula unit. For the energy above the most stable polymorph in this dataset, the calculation gives 606.6 meV per atom.

=====

Entry 7:
Below is a relaxed LiFe2Pd6 crystal, with properties calculated at the PBE level.

```
LiFe2Pd6
1.0
-3.1688 -2.2487 -1.3259
0.2037 -3.1549 4.8637
-2.4011 6.5892 0.9154
Li Fe Pd
1 2 6
direct
0.0000 0.0000 0.0000
0.6640 0.6639 0.3278
0.3360 0.3361 0.6722
0.1663 0.4139 0.3327
0.8337 0.0813 0.6673
0.8337 0.5861 0.6673
0.5000 0.2433 0.0000
0.1663 0.9187 0.3327
0.5000 0.7567 0.0000
```

## Properties
The final energy comes out at -5.47 eV per atom. The space group is No. 71. The crystal system is orthorhombic. The total magnetic moment is 8.4 μB per formula unit. For the energy above the most stable polymorph in this dataset, the calculation gives 194.6 meV per atom.

=====

Entry 8:
Below is a relaxed LiFe2Pd6 crystal, with properties calculated at the PBE level.

```
LiFe2Pd6
1.0
4.6620 0.0921 0.4239
0.5057 7.3713 2.3447
0.1578 0.0915 7.7495
Li Fe Pd
2 4 12
direct
0.2500 0.1239 0.8761
0.7500 0.8761 0.1239
0.4190 0.5405 0.7930
0.0810 0.2070 0.4595
0.5810 0.4595 0.2070
0.9190 0.7930 0.5405
0.4809 0.6811 0.4351
0.0191 0.5649 0.3189
0.5191 0.3189 0.5649
0.9809 0.4351 0.6811
0.6365 0.1024 0.3455
0.8635 0.6545 0.8976
0.3635 0.8976 0.6545
0.1365 0.3455 0.1024
0.3227 0.7600 0.0205
0.1773 0.9795 0.2400
0.6773 0.2400 0.9795
0.8227 0.0205 0.7600
```

## Properties
The final energy comes out at -5.66 eV per atom. The space group is No. 15. The crystal system is monoclinic. The total magnetic moment is 7.6 μB per formula unit. For the energy above the most stable polymorph in this dataset, the calculation gives 0.0 meV per atom.

=====

Entry 9:
Below is a relaxed Li2FePd crystal, with properties calculated at the PBE level.

```
Li2FePd
1.0
-2.1342 1.0177 1.2329
-2.3157 0.2174 -1.3043
-3.8863 -8.0813 2.8266
Fe Pd Li
1 1 2
direct
0.0000 0.0000 0.0000
0.5000 0.5000 0.5000
0.0894 0.0894 0.7317
0.9106 0.9106 0.2683
```

## Properties
The final energy comes out at -4.33 eV per atom. The space group is No. 166. The crystal system is trigonal. The total magnetic moment is 2.6 μB per formula unit.

=====

Entry 10:
Below is a relaxed LiFe3Pd crystal, with properties calculated at the PBE level.

```
LiFe3Pd
1.0
4.0228 0.0000 0.0000
0.0000 4.0228 0.0000
0.0000 0.0000 4.0228
Fe Pd Li
3 1 1
direct
0.0000 0.5000 0.0000
0.0000 0.0000 0.5000
0.5000 0.0000 0.0000
0.5000 0.5000 0.5000
0.0000 0.0000 0.0000
```

## Properties
The final energy comes out at -5.64 eV per atom. The space group is No. 221. The crystal system is cubic. The total magnetic moment is 8.5 μB per formula unit. For the energy above the most stable polymorph in this dataset, the calculation gives 0.0 meV per atom.

=====

Entry 11:
Below is a relaxed LiFePdPt crystal, with properties calculated at the PBE level.

```
LiFePdPt
1.0
-0.2623 4.1657 -0.8831
-1.4631 2.7171 2.9459
2.6670 2.7506 1.8770
Li Pd Pt Fe
1 1 1 1
direct
0.5000 0.5000 0.5000
0.2500 0.2500 0.2500
0.7500 0.7500 0.7500
0.0000 0.0000 0.0000
```

## Properties
The final energy comes out at -5.72 eV per atom. The space group is No. 216. The crystal system is cubic. The total magnetic moment is 3.8 μB per formula unit.

=====

Entry 12:
Below is a relaxed LiPm2Fe crystal, with properties calculated at the PBE level.

```
LiPm2Fe
1.0
5.0056 0.0000 0.0000
2.5028 4.3350 0.0000
2.5028 1.4450 4.0870
Li Fe Pm
1 1 2
direct
0.5000 0.5000 0.5000
0.0000 0.0000 0.0000
0.2500 0.2500 0.2500
0.7500 0.7500 0.7500
```

## Properties
The final energy comes out at -4.81 eV per atom. The space group is No. 225. The crystal system is cubic. The total magnetic moment is 0.7 μB per formula unit. For the energy above the most stable polymorph in this dataset, the calculation gives 39.0 meV per atom.

=====

Entry 13:
Below is a relaxed LiPm6Fe2 crystal, with properties calculated at the PBE level.

```
LiPm6Fe2
1.0
8.1121 0.1328 -2.9424
-4.2213 7.0796 -2.5576
-0.0737 -0.1328 8.6289
Li Pm Fe
2 12 4
direct
0.0000 0.5000 0.5000
0.0000 0.0000 0.0000
0.5243 0.7098 0.8146
0.4757 0.2902 0.1854
0.1048 0.2902 0.8146
0.8952 0.7098 0.1854
0.7897 0.7815 0.5712
0.2103 0.2185 0.4288
0.2103 0.7815 0.9919
0.7897 0.2185 0.0081
0.6987 0.3893 0.6906
0.3013 0.6107 0.3094
0.3013 0.9919 0.6906
0.6987 0.0081 0.3094
0.5000 0.3932 0.8932
0.5000 0.6068 0.1068
0.6140 0.0000 0.6140
0.3860 0.0000 0.3860
```

## Properties
The final energy comes out at -5.21 eV per atom. The space group is No. 71. The crystal system is orthorhombic. The total magnetic moment is 1.7 μB per formula unit.

=====

Entry 14:
Below is a relaxed LiPmFe4 crystal, with properties calculated at the PBE level.

```
LiPmFe4
1.0
5.0270 0.0000 0.0000
2.5135 4.3535 0.0000
2.5135 1.4512 4.1045
Li Fe Pm
1 4 1
direct
0.0000 0.0000 0.0000
0.6256 0.6256 0.1233
0.6256 0.1233 0.6256
0.6256 0.6256 0.6256
0.1233 0.6256 0.6256
0.2500 0.2500 0.2500
```

## Properties
The final energy comes out at -6.61 eV per atom. The space group is No. 216. The crystal system is cubic. The total magnetic moment is 7.9 μB per formula unit.

=====

Entry 15:
Below is a relaxed LiPm2Fe crystal, with properties calculated at the PBE level.

```
LiPm2Fe
1.0
-0.7749 3.2325 1.0389
-0.6843 -1.1925 3.1998
7.8166 1.1936 2.1166
Li Fe Pm
1 1 2
direct
0.5000 0.5000 0.5000
0.5000 0.5000 0.0000
0.0000 0.0000 0.7964
0.0000 0.0000 0.2036
```

## Properties
The final energy comes out at -4.85 eV per atom. The space group is No. 123. The crystal system is tetragonal. The total magnetic moment is 1.2 μB per formula unit. For the energy above the most stable polymorph in this dataset, the calculation gives 0.0 meV per atom.

=====

Entry 16:
Below is a relaxed LiPm3Fe crystal, with properties calculated at the PBE level.

```
LiPm3Fe
1.0
5.3221 0.0000 0.0000
0.0000 5.3221 0.0000
0.0000 0.0000 5.3221
Li Fe Pm
1 1 3
direct
0.5000 0.5000 0.5000
0.0000 0.0000 0.0000
0.0000 0.5000 0.0000
0.0000 0.0000 0.5000
0.5000 0.0000 0.0000
```

## Properties
The final energy comes out at -4.75 eV per atom. The space group is No. 221. The crystal system is cubic. The total magnetic moment is 0.0 μB per formula unit.

=====

Entry 17:
Below is a relaxed LiPmScFe crystal, with properties calculated at the PBE level.

```
LiPmScFe
1.0
4.7640 0.0000 0.0000
2.3820 4.1258 0.0000
2.3820 1.3753 3.8898
Sc Li Fe Pm
1 1 1 1
direct
0.2500 0.2500 0.2500
0.0000 0.0000 0.0000
0.5000 0.5000 0.5000
0.7500 0.7500 0.7500
```

## Properties
The final energy comes out at -5.26 eV per atom. The space group is No. 216. The crystal system is cubic. The total magnetic moment is 0.2 μB per formula unit.

=====

Entry 18:
Below is a relaxed LiPmYFe crystal, with properties calculated at the PBE level.

```
LiPmYFe
1.0
4.9482 0.0000 0.0000
2.4741 4.2853 0.0000
2.4741 1.4284 4.0402
Y Li Fe Pm
1 1 1 1
direct
0.7500 0.7500 0.7500
0.0000 0.0000 0.0000
0.5000 0.5000 0.5000
0.2500 0.2500 0.2500
```

## Properties
The final energy comes out at -5.26 eV per atom. The space group is No. 216. The crystal system is cubic. The total magnetic moment is 0.7 μB per formula unit.

=====

Entry 19:
Below is a relaxed LiPmZrFe crystal, with properties calculated at the PBE level.

```
LiPmZrFe
1.0
4.7613 0.0000 0.0000
2.3806 4.1234 0.0000
2.3806 1.3745 3.8876
Li Fe Zr Pm
1 1 1 1
direct
0.0000 0.0000 0.0000
0.5000 0.5000 0.5000
0.7500 0.7500 0.7500
0.2500 0.2500 0.2500
```

## Properties
The final energy comes out at -5.77 eV per atom. The space group is No. 216. The crystal system is cubic. The total magnetic moment is 0.0 μB per formula unit.

=====

Entry 20:
Below is a relaxed LiPr3Fe crystal, with properties calculated at the PBE level.

```
LiPr3Fe
1.0
5.3890 0.0000 0.0000
0.0000 5.3890 0.0000
0.0000 0.0000 5.3890
Pr Fe Li
3 1 1
direct
0.0000 0.5000 0.0000
0.0000 0.0000 0.5000
0.5000 0.0000 0.0000
0.0000 0.0000 0.0000
0.5000 0.5000 0.5000
```

## Properties
The final energy comes out at -4.74 eV per atom. The space group is No. 221. The crystal system is cubic. The total magnetic moment is 0.1 μB per formula unit.

=====

Entry 21:
Below is a relaxed LiPrFe crystal, with properties calculated at the PBE level.

```
LiPrFe
1.0
-1.7980 3.0647 1.5309
-4.5804 -2.0152 -1.3454
1.7123 -4.1209 5.3718
Fe Li Pr
2 2 2
direct
0.7624 0.0901 0.5248
0.2376 0.9099 0.4752
0.5878 0.8158 0.1756
0.4122 0.1842 0.8244
0.8664 0.6587 0.7327
0.1336 0.3413 0.2673
```

## Properties
The final energy comes out at -4.84 eV per atom. The space group is No. 12. The crystal system is monoclinic. The total magnetic moment is 0.0 μB per formula unit.

=====

Entry 22:
Below is a relaxed LiPr2Fe crystal, with properties calculated at the PBE level.

```
LiPr2Fe
1.0
3.5429 0.0000 0.0000
0.0000 3.5429 0.0000
0.0000 0.0000 8.2593
Pr Fe Li
2 1 1
direct
0.0000 0.0000 0.7944
0.0000 0.0000 0.2056
0.5000 0.5000 0.0000
0.5000 0.5000 0.5000
```

## Properties
The final energy comes out at -4.83 eV per atom. The space group is No. 123. The crystal system is tetragonal. The total magnetic moment is 1.2 μB per formula unit.

=====

Entry 23:
Below is a relaxed LiPrFe4 crystal, with properties calculated at the PBE level.

```
LiPrFe4
1.0
5.0633 0.0000 0.0000
2.5317 4.3850 0.0000
2.5317 1.4617 4.1342
Pr Fe Li
1 4 1
direct
0.0000 0.0000 0.0000
0.6239 0.6239 0.1283
0.6239 0.1283 0.6239
0.6239 0.6239 0.6239
0.1283 0.6239 0.6239
0.2500 0.2500 0.2500
```

## Properties
The final energy comes out at -6.58 eV per atom. The space group is No. 216. The crystal system is cubic. The total magnetic moment is 8.3 μB per formula unit.

=====

Entry 24:
Below is a relaxed LiPrSmFe crystal, with properties calculated at the PBE level.

```
LiPrSmFe
1.0
5.0369 0.0000 0.0000
2.5185 4.3621 0.0000
2.5185 1.4540 4.1126
Pr Fe Sm Li
1 1 1 1
direct
0.7500 0.7500 0.7500
0.5000 0.5000 0.5000
0.2500 0.2500 0.2500
0.0000 0.0000 0.0000
```

## Properties
The final energy comes out at -4.79 eV per atom. The space group is No. 216. The crystal system is cubic. The total magnetic moment is 0.8 μB per formula unit.

=====

Entry 25:
Below is a relaxed LiTbPrFe crystal, with properties calculated at the PBE level.

```
LiTbPrFe
1.0
4.9911 0.0000 0.0000
2.4956 4.3225 0.0000
2.4956 1.4408 4.0753
Pr Tb Fe Li
1 1 1 1
direct
0.5000 0.5000 0.5000
0.0000 0.0000 0.0000
0.7500 0.7500 0.7500
0.2500 0.2500 0.2500
```

## Properties
The final energy comes out at -4.79 eV per atom. The space group is No. 216. The crystal system is cubic. The total magnetic moment is 0.8 μB per formula unit.